A relaxed ZrSc2As2 crystal, computed with PBE.

Values from the calculation:
VASP energy ... -7.189 eV per atom
SG ... No. 127
Formation enthalpy at 0 K ... -1.09 eV per atom
V ... 197.0 Å³ per cell
Total magnetic moment ... 0.0 μB per cell

a = 7.2801 Å, b = 7.2801 Å, c = 3.7174 Å
α = 90.00°, β = 90.00°, γ = 90.00°
Last column: nearest neighbours and their distance in Å.
Fractional coordinates of all 10 atoms:
Zr1 0.5000 0.5000 0.0000  4 As 2.79
As1 0.1465 0.3535 0.0000  6 Sc 2.75-2.89, 2 Zr 2.79, 1 As 3.02
Zr2 0.0000 0.0000 0.0000  4 As 2.79
Sc1 0.3430 0.1570 0.5000  6 As 2.75-2.89
As2 0.3535 0.8535 0.0000  6 Sc 2.75-2.89, 2 Zr 2.79, 1 As 3.02
Sc2 0.6570 0.8430 0.5000  6 As 2.75-2.89
Sc3 0.8430 0.3430 0.5000  6 As 2.75-2.89
As3 0.8535 0.6465 0.0000  6 Sc 2.75-2.89, 2 Zr 2.79, 1 As 3.02
Sc4 0.1570 0.6570 0.5000  6 As 2.75-2.89
As4 0.6465 0.1465 0.0000  6 Sc 2.75-2.89, 2 Zr 2.79, 1 As 3.02